P) Computed, not measured: crystalline TmTlTe3Pd at its relaxed geometry at the PBE-GGA level of DFT.

Summary:
SG: No. 63
Magnetic moment: 0.0 Bohr magnetons per cell

Lattice parameters (Å, degrees): 8.580 8.580 10.451 90.00 90.00 151.71
Positions (direct):
Pd: 0.014 0.986 0.250
Pd: 0.986 0.014 0.750
Te: 0.127 0.873 0.069
Te: 0.409 0.591 0.250
Te: 0.127 0.873 0.431
Te: 0.873 0.127 0.569
Te: 0.591 0.409 0.750
Te: 0.873 0.127 0.931
Tl: 0.741 0.259 0.250
Tl: 0.259 0.741 0.750
Tm: 0.500 0.500 0.000
Tm: 0.500 0.500 0.500

***

Q) Computed, not measured: crystalline TmTlTe3Pd at its relaxed geometry at the PBE-GGA level of DFT.

Summary:
SG: No. 11
Magnetic moment: 0.0 Bohr magnetons per cell

Lattice parameters (Å, degrees): 8.906 4.177 10.884 90.00 112.49 90.00
Positions (direct):
Pd: 0.593 0.750 0.113
Pd: 0.407 0.250 0.887
Te: 0.726 0.250 0.040
Te: 0.558 0.750 0.348
Te: 0.060 0.750 0.355
Te: 0.940 0.250 0.645
Te: 0.442 0.250 0.652
Te: 0.274 0.750 0.960
Tl: 0.237 0.250 0.204
Tl: 0.763 0.750 0.796
Tm: 0.805 0.250 0.348
Tm: 0.195 0.750 0.652

***

Which of them is the most stable? Correct choice: P).

***

P) Computed, not measured: crystalline YTlTe3Pd at its relaxed geometry at the PBE-GGA level of DFT.

Summary:
SG: No. 63
Magnetic moment: 0.0 Bohr magnetons per cell

Lattice parameters (Å, degrees): 8.589 8.589 10.496 90.00 90.00 151.36
Positions (direct):
Pd: 0.010 0.990 0.250
Pd: 0.990 0.010 0.750
Te: 0.127 0.873 0.075
Te: 0.407 0.593 0.250
Te: 0.127 0.873 0.425
Te: 0.873 0.127 0.575
Te: 0.593 0.407 0.750
Te: 0.873 0.127 0.925
Tl: 0.742 0.258 0.250
Tl: 0.258 0.742 0.750
Y: 0.500 0.500 0.000
Y: 0.500 0.500 0.500

***

Q) Computed, not measured: crystalline YTlTe3Pd at its relaxed geometry at the PBE-GGA level of DFT.

Summary:
SG: No. 11
Magnetic moment: 0.0 Bohr magnetons per cell

Lattice parameters (Å, degrees): 8.955 4.205 10.935 90.00 112.28 90.00
Positions (direct):
Pd: 0.906 0.250 0.388
Pd: 0.094 0.750 0.612
Te: 0.440 0.250 0.148
Te: 0.947 0.250 0.156
Te: 0.778 0.750 0.462
Te: 0.222 0.250 0.538
Te: 0.053 0.750 0.844
Te: 0.560 0.750 0.852
Tl: 0.264 0.750 0.297
Tl: 0.736 0.250 0.703
Y: 0.695 0.750 0.151
Y: 0.305 0.250 0.849

***

Which of them is the most stable? Correct choice: P).

***

P) Computed, not measured: crystalline Tl2Pd3 at its relaxed geometry at the PBE-GGA level of DFT.

Summary:
SG: No. 43

Lattice parameters (Å, degrees): 7.488 5.722 8.694 58.32 40.56 81.13
Positions (direct):
Pd: 0.366 0.366 0.134
Pd: 0.520 0.602 0.278
Pd: 0.602 0.520 0.601
Pd: 0.649 0.972 0.648
Pd: 0.972 0.649 0.730
Pd: 0.116 0.116 0.884
Tl: 0.038 0.532 0.072
Tl: 0.178 0.891 0.212
Tl: 0.532 0.038 0.359
Tl: 0.891 0.178 0.718

***

Q) Computed, not measured: crystalline Tl2Pd3 at its relaxed geometry at the PBE-GGA level of DFT.

Summary:
SG: No. 194

Lattice parameters (Å, degrees): 5.738 5.738 13.950 90.00 90.00 120.00
Positions (direct):
Pd: 0.166 0.331 0.086
Pd: 0.166 0.834 0.086
Pd: 0.669 0.834 0.086
Pd: 0.166 0.331 0.414
Pd: 0.166 0.834 0.414
Pd: 0.669 0.834 0.414
Pd: 0.331 0.166 0.586
Pd: 0.834 0.166 0.586
Pd: 0.834 0.669 0.586
Pd: 0.331 0.166 0.914
Pd: 0.834 0.166 0.914
Pd: 0.834 0.669 0.914
Tl: 0.667 0.333 0.090
Tl: 0.000 0.000 0.250
Tl: 0.333 0.667 0.250
Tl: 0.667 0.333 0.410
Tl: 0.333 0.667 0.590
Tl: 0.000 0.000 0.750
Tl: 0.667 0.333 0.750
Tl: 0.333 0.667 0.910

***

Which of them is the most stable? Correct choice: Q).

***

P) Computed, not measured: crystalline TmPdW at its relaxed geometry at the PBE-GGA level of DFT.

Summary:
SG: No. 216
Magnetic moment: 2.9 Bohr magnetons per cell

Lattice parameters (Å, degrees): 4.579 4.579 4.579 60.00 60.00 60.00
Positions (direct):
Pd: 0.250 0.250 0.250
Tm: 0.000 0.000 0.000
W: 0.750 0.750 0.750

***

Q) Computed, not measured: crystalline TmPdW at its relaxed geometry at the PBE-GGA level of DFT.

Summary:
SG: No. 216
Magnetic moment: 0.1 Bohr magnetons per cell

Lattice parameters (Å, degrees): 4.505 4.505 4.505 60.00 60.00 60.00
Positions (direct):
Pd: 0.000 0.000 0.000
Tm: 0.250 0.250 0.250
W: 0.750 0.750 0.750

***

Which of them is the most stable? Correct choice: Q).

***

P) Computed, not measured: crystalline TmZnPd at its relaxed geometry at the PBE-GGA level of DFT.

Summary:
SG: No. 189
Magnetic moment: 0.0 Bohr magnetons per cell

Lattice parameters (Å, degrees): 7.237 7.237 3.816 90.00 90.00 120.00
Positions (direct):
Pd: 0.000 0.000 0.000
Pd: 0.667 0.333 0.500
Pd: 0.333 0.667 0.500
Tm: 0.595 0.000 0.000
Tm: 0.405 0.405 0.000
Tm: 0.000 0.595 0.000
Zn: 0.252 0.000 0.500
Zn: 0.000 0.252 0.500
Zn: 0.748 0.748 0.500

***

Q) Computed, not measured: crystalline TmZnPd at its relaxed geometry at the PBE-GGA level of DFT.

Summary:
SG: No. 216
Magnetic moment: 0.0 Bohr magnetons per cell

Lattice parameters (Å, degrees): 4.624 4.624 4.624 60.00 60.00 60.00
Positions (direct):
Pd: 0.250 0.250 0.250
Tm: 0.000 0.000 0.000
Zn: 0.750 0.750 0.750

***

Which of them is the most stable? Correct choice: P).

***

P) Computed, not measured: crystalline TmZnPd at its relaxed geometry at the PBE-GGA level of DFT.

Summary:
SG: No. 62
Magnetic moment: 0.0 Bohr magnetons per cell

Lattice parameters (Å, degrees): 6.849 4.157 8.068 90.00 90.00 90.00
Positions (direct):
Pd: 0.753 0.250 0.119
Pd: 0.253 0.250 0.381
Pd: 0.747 0.750 0.619
Pd: 0.247 0.750 0.881
Tm: 0.461 0.750 0.189
Tm: 0.961 0.750 0.311
Tm: 0.039 0.250 0.689
Tm: 0.539 0.250 0.811
Zn: 0.143 0.250 0.064
Zn: 0.643 0.250 0.436
Zn: 0.357 0.750 0.564
Zn: 0.857 0.750 0.936

***

Q) Computed, not measured: crystalline TmZnPd at its relaxed geometry at the PBE-GGA level of DFT.

Summary:
SG: No. 216
Magnetic moment: 0.0 Bohr magnetons per cell

Lattice parameters (Å, degrees): 4.527 4.527 4.527 60.00 60.00 60.00
Positions (direct):
Pd: 0.000 0.000 0.000
Tm: 0.250 0.250 0.250
Zn: 0.750 0.750 0.750

***

Which of them is the most stable? Correct choice: P).